The following is a DFT calculation (PBE) of crystalline HfUSn at its relaxed geometry.

Summary:
The electronic total energy comes out at -25.2 eV for the cell shown. For the density of states at the Fermi level, the calculation gives 4.8 states/eV/f.u. For the calculated volume, the calculation gives 69.16 Å³/cell. The space group is I4mm, No. 107. The value obtained for the energy above the lowest structure with this stoichiometry is 28 meV/atom.

Unit cell a=7.5412 b=7.5412 c=7.5412 alpha=156.31 beta=156.31 gamma=33.75
Atoms (fractional coordinates):
1 Hf 0.0000 0.0000 0.0000
2 U 0.6636 0.6636 0.0000
3 Sn 0.3383 0.3383 0.0000